# 1
{
  "formula": "Cd2Fe2Au",
  "functional": "PBE",
  "state": "optimized geometry",
  "e_above_lowest_polymorph_ev_per_atom": 0.248,
  "m_tot_mub_per_cell": 5.7,
  "sg": "I4/mmm",
  "dos_at_fermi_per_ev_fu": 3.7,
  "lattice": [[3.868, 0.000, 0.000], [0.000, 3.868, 0.000], [1.934, 1.934, 6.217]],
  "species": ["Fe", "Fe", "Cd", "Cd", "Au"],
  "frac_coords": [[0.585, 0.585, 0.830], [0.415, 0.415, 0.170], [0.750, 0.250, 0.500], [0.250, 0.750, 0.500], [0.000, 0.000, 0.000]]
}


# 2
{
  "formula": "MgSCl6",
  "functional": "PBE",
  "state": "optimized geometry",
  "energy_ev_per_cell": -21.57,
  "m_tot_mub_per_cell": 0.0,
  "sg": "R-3",
  "dos_at_fermi_per_ev_fu": 0.0,
  "lattice": [[-2.881, -5.240, 1.687], [3.323, -5.040, 1.468], [0.281, -1.805, 6.321]],
  "species": ["Cl", "Cl", "Cl", "Cl", "Cl", "Cl", "Mg", "S"],
  "frac_coords": [[0.390, 0.767, 0.757], [0.610, 0.233, 0.243], [0.086, 0.390, 0.757], [0.914, 0.610, 0.243], [0.767, 0.086, 0.757], [0.233, 0.914, 0.243], [0.500, 0.500, 0.500], [0.000, 0.000, 0.000]]
}